(1)
# HfZr3H8

A relaxed structure of HfZr3H8 (PBE, Alexandria via LeMat-Bulk).

Cell: 4.7774 4.7774 4.7774 Å, 90.00 90.00 90.00°
Element x y z (fractional)
Hf 0.0000 0.0000 0.0000
Zr 0.0000 0.5000 0.5000
Zr 0.5000 0.0000 0.5000
Zr 0.5000 0.5000 0.0000
H 0.2466 0.2466 0.2466
H 0.2466 0.2466 0.7534
H 0.2466 0.7534 0.2466
H 0.2466 0.7534 0.7534
H 0.7534 0.2466 0.2466
H 0.7534 0.2466 0.7534
H 0.7534 0.7534 0.2466
H 0.7534 0.7534 0.7534

Properties
SG = Pm-3m

***

(2)
# CeDy2Y3Tm6

A relaxed structure of CeDy2Y3Tm6 (PBE, Alexandria via LeMat-Bulk).

Cell: 6.1036 6.1036 11.6613 Å, 95.01 95.01 119.96°
Element x y z (fractional)
Ce 0.0000 0.0000 0.0000
Dy 0.3334 0.6666 0.0000
Dy 0.6666 0.3334 0.0000
Y 0.1674 0.8326 0.5000
Y 0.5000 0.5000 0.5000
Y 0.8326 0.1674 0.5000
Tm 0.0835 0.4145 0.2488
Tm 0.2477 0.2477 0.7510
Tm 0.4145 0.0835 0.2488
Tm 0.5855 0.9165 0.7512
Tm 0.7523 0.7523 0.2490
Tm 0.9165 0.5855 0.7512

Properties
SG = C2/m
Calculated formation energy = 42 meV/atom

***

(3)
# Mg2AsCl

A relaxed structure of Mg2AsCl (PBE, Alexandria via LeMat-Bulk).

Cell: 5.0518 5.0518 5.0518 Å, 132.81 106.58 92.01°
Element x y z (fractional)
Mg 0.2448 0.2448 0.0000
Mg 0.7552 0.7552 0.0000
As 0.0000 0.5000 0.5000
Cl 0.5000 0.0000 0.5000

Properties
SG = Immm
Offset from the most stable computed form = 0.2852 eV per atom
Raw formation energy = -2.7 eV/f.u.

***

(4)
# ZnFe2GePd

A relaxed structure of ZnFe2GePd (PBE, Alexandria via LeMat-Bulk).

Cell: 4.6916 4.6916 4.6863 Å, 90.00 90.00 90.00°
Element x y z (fractional)
Zn 0.0000 0.0000 0.0000
Fe 0.0000 0.5000 0.5000
Fe 0.5000 0.0000 0.5000
Ge 0.5000 0.5000 0.0000
Pd 0.0000 0.0000 0.5000

Properties
SG = P4/mmm
Calculated formation energy = 1420 meV/atom

***

Number 1: E -5.7542 eV/atom. Number 2: E -5.0717 eV/atom. Number 3: E -3.0846 eV/atom. Number 4: E -4.1822 eV/atom.